Computed, not measured: Na3DyTi2Nb2O12 at its PBEsol-relaxed geometry at the SCAN level of DFT.

Computed properties:
Volume ... 11.5 Å³ per atom
Density of states at the Fermi level ... 0.000 states/eV per atom
Raw formation energy ... -2.991 eV/atom
ΔE to the lowest computed polymorph ... 0.0 kJ/mol of formula units
Final energy ... -14.668 eV/atom

a = 15.449 Å, b = 5.390 Å, c = 5.507 Å
α = 90.00°, β = 90.00°, γ = 90.00°
Fractional coordinates of all 40 atoms:
Na 0.000 0.245 0.000
Na 0.000 0.755 0.500
Na 0.254 0.252 0.953
Na 0.254 0.748 0.453
Na 0.746 0.252 0.953
Na 0.746 0.748 0.453
Dy 0.500 0.264 0.039
Dy 0.500 0.736 0.539
Ti 0.375 0.236 0.498
Ti 0.375 0.764 0.998
Ti 0.625 0.236 0.498
Ti 0.625 0.764 0.998
Nb 0.128 0.254 0.470
Nb 0.128 0.746 0.970
Nb 0.872 0.254 0.470
Nb 0.872 0.746 0.970
O 0.000 0.192 0.467
O 0.000 0.808 0.967
O 0.112 0.442 0.787
O 0.112 0.558 0.287
O 0.143 0.053 0.181
O 0.143 0.947 0.681
O 0.256 0.313 0.498
O 0.256 0.687 0.998
O 0.366 0.057 0.167
O 0.366 0.943 0.667
O 0.408 0.455 0.757
O 0.408 0.545 0.257
O 0.500 0.154 0.442
O 0.500 0.846 0.942
O 0.592 0.455 0.757
O 0.592 0.545 0.257
O 0.634 0.057 0.167
O 0.634 0.943 0.667
O 0.744 0.313 0.498
O 0.744 0.687 0.998
O 0.857 0.053 0.181
O 0.857 0.947 0.681
O 0.888 0.442 0.787
O 0.888 0.558 0.287